--- a ---
## LiMnP2H2O8 (SCAN)

Data for a crystal of LiMnP2H2O8 relaxed with PBEsol.

a b c (Å): 10.076 15.771 8.540
angles (deg): 90.00 122.38 90.00
Space group Cc (No. 9)
Unique sites:
Li 0.000 0.182 0.000 x4
Li 0.008 0.305 0.517 x4
Mn 0.407 0.108 0.299 x4
Mn 0.421 0.355 0.808 x4
P 0.074 0.004 0.653 x4
P 0.102 0.466 0.624 x4
P 0.250 0.275 0.054 x4
P 0.299 0.184 0.574 x4
H 0.170 0.037 0.948 x4
H 0.257 0.384 0.231 x4
H 0.308 0.500 0.385 x4
H 0.326 0.077 0.743 x4
O 0.004 0.081 0.152 x4
O 0.040 0.482 0.949 x4
O 0.076 0.295 0.925 x4
O 0.107 0.062 0.818 x4
O 0.120 0.199 0.481 x4
O 0.202 0.470 0.288 x4
O 0.210 0.393 0.638 x4
O 0.226 0.005 0.151 x4
O 0.252 0.184 0.126 x4
O 0.323 0.335 0.232 x4
O 0.334 0.126 0.458 x4
O 0.350 0.280 0.970 x4
O 0.367 0.138 0.767 x4
O 0.386 0.269 0.623 x4
O 0.450 0.448 0.972 x4
O 0.467 0.079 0.126 x4



--- b ---
## LiMnP2H2O8 (SCAN)

Data for a crystal of LiMnP2H2O8 relaxed with PBEsol.

a b c (Å): 6.851 7.841 5.209
angles (deg): 90.00 90.00 90.00
Space group P2_12_12 (No. 18)
Unique sites:
Li 0.000 0.000 0.083 x2
Mn 0.000 0.500 0.766 x2
P 0.215 0.645 0.270 x4
H 0.006 0.208 0.466 x4
O 0.052 0.786 0.276 x4
O 0.077 0.221 0.725 x4
O 0.192 0.534 0.511 x4
O 0.199 0.542 0.018 x4



In terms of stability, b leads; the second structure lies 13 meV per atom higher.



--- a ---
## LiVP2H2O8 (SCAN)

Data for a crystal of LiVP2H2O8 relaxed with PBEsol.

a b c (Å): 6.757 7.725 5.326
angles (deg): 90.00 90.00 90.00
Space group P2_12_12 (No. 18)
Unique sites:
Li 0.000 0.000 0.086 x2
V 0.000 0.500 0.756 x2
P 0.219 0.651 0.262 x4
H 0.010 0.210 0.451 x4
O 0.045 0.787 0.270 x4
O 0.077 0.243 0.729 x4
O 0.201 0.539 0.497 x4
O 0.207 0.547 0.017 x4



--- b ---
## LiVP2H2O8 (SCAN)

Data for a crystal of LiVP2H2O8 relaxed with PBEsol.

a b c (Å): 9.941 15.863 8.538
angles (deg): 90.00 121.58 90.00
Space group Cc (No. 9)
Unique sites:
Li 0.000 0.184 0.000 x4
Li 0.021 0.305 0.517 x4
V 0.406 0.108 0.293 x4
V 0.428 0.355 0.819 x4
P 0.080 0.000 0.169 x4
P 0.109 0.468 0.622 x4
P 0.248 0.280 0.043 x4
P 0.309 0.184 0.584 x4
H 0.178 0.037 0.961 x4
H 0.262 0.388 0.225 x4
H 0.314 0.498 0.389 x4
H 0.340 0.075 0.755 x4
O 0.013 0.086 0.178 x4
O 0.050 0.479 0.952 x4
O 0.073 0.302 0.911 x4
O 0.115 0.059 0.830 x4
O 0.132 0.200 0.501 x4
O 0.210 0.469 0.288 x4
O 0.216 0.394 0.638 x4
O 0.236 0.014 0.168 x4
O 0.250 0.189 0.111 x4
O 0.323 0.337 0.222 x4
O 0.336 0.128 0.458 x4
O 0.348 0.285 0.955 x4
O 0.380 0.135 0.774 x4
O 0.401 0.266 0.633 x4
O 0.460 0.454 0.991 x4
O 0.471 0.075 0.125 x4



In terms of stability, a leads; the second structure lies 12 meV per atom higher.



--- a ---
## LiHPd3 (SCAN)

Data for a crystal of LiHPd3 relaxed with PBEsol.

a b c (Å): 3.901 3.901 3.901
angles (deg): 90.00 90.00 90.00
Space group Pm-3m (No. 221)
Unique sites:
Li 0.000 0.000 0.000 x1
H 0.500 0.500 0.500 x1
Pd 0.000 0.500 0.500 x3



--- b ---
## LiHPd3 (SCAN)

Data for a crystal of LiHPd3 relaxed with PBEsol.

a b c (Å): 2.760 5.466 7.826
angles (deg): 90.00 90.00 90.00
Space group Amm2 (No. 38)
Unique sites:
Li 0.000 0.000 0.000 x2
H 0.000 0.000 0.276 x2
Pd 0.000 0.000 0.511 x2
Pd 0.500 0.248 0.754 x4



In terms of stability, b leads; the second structure lies 11 meV per atom higher.



--- a ---
## LuH3O3 (SCAN)

Data for a crystal of LuH3O3 relaxed with PBEsol.

a b c (Å): 6.1221 6.1221 3.3697
angles (deg): 90.00 90.00 120.00
Space group P6_3/m (No. 176)
Unique sites:
Lu 0.3333 0.6667 0.2500 x2
H 0.1283 0.8488 0.7500 x6
O 0.0857 0.3963 0.7500 x6



--- b ---
## LuH3O3 (SCAN)

Data for a crystal of LuH3O3 relaxed with PBEsol.

a b c (Å): 11.3715 11.3715 6.8937
angles (deg): 90.00 90.00 120.00
Space group R-3 (No. 148, hexagonal axes)
Unique sites:
Lu 0.0000 0.0000 0.0000 x3
Lu 0.0000 0.5000 0.0000 x9
H 0.0283 0.4287 0.6400 x18
H 0.0831 0.2006 0.7361 x18
O 0.0015 0.8403 0.1790 x18
O 0.0563 0.6107 0.2771 x18



In terms of stability, b leads; the second structure lies 14 meV per atom higher.



--- a ---
## MgNb2H (SCAN)

Data for a crystal of MgNb2H relaxed with PBEsol.

a b c (Å): 6.219 6.219 6.219
angles (deg): 90.00 90.00 90.00
Space group Fm-3m (No. 225)
Unique sites:
Mg 0.000 0.000 0.000 x4
Nb 0.250 0.250 0.250 x8
H 0.000 0.000 0.500 x4



--- b ---
## MgNb2H (SCAN)

Data for a crystal of MgNb2H relaxed with PBEsol.

a b c (Å): 8.170 8.170 8.170
angles (deg): 90.00 90.00 90.00
Space group Fd-3m (No. 227, origin choice 2)
Unique sites:
Mg 0.125 0.125 0.125 x8
Nb 0.000 0.000 0.500 x16
H 0.125 0.125 0.625 x8



In terms of stability, b leads; the second structure lies 687 meV per atom higher.



--- a ---
## Mg3NiH (SCAN)

Data for a crystal of Mg3NiH relaxed with PBEsol.

a b c (Å): 4.747 4.747 4.747
angles (deg): 90.00 90.00 90.00
Space group Pm-3m (No. 221)
Unique sites:
Mg 0.000 0.000 0.500 x3
Ni 0.000 0.000 0.000 x1
H 0.500 0.500 0.500 x1



--- b ---
## Mg3NiH (SCAN)

Data for a crystal of Mg3NiH relaxed with PBEsol.

a b c (Å): 4.108 4.108 4.108
angles (deg): 90.00 90.00 90.00
Space group Pm-3m (No. 221)
Unique sites:
Mg 0.000 0.000 0.500 x3
Ni 0.500 0.500 0.500 x1
H 0.000 0.000 0.000 x1



In terms of stability, b leads; the second structure lies 555 meV per atom higher.